(1)
Here is a geometry-optimized Mn2TlCr structure from Alexandria via LeMat-Bulk. Energies are from PBE.

Lattice parameters (Å, degrees): 8.579 8.579 8.579 20.14 20.14 20.14
Sites, in units of the cell vectors:
Tl1 0.250 0.250 0.250
Mn1 0.487 0.487 0.487
Mn2 0.013 0.013 0.013
Cr1 0.750 0.750 0.750

Values from the calculation:
space-group type	No. 166
relative energy among the computed polymorphs	177	meV/atom
calculated formation energy	2.2	eV/f.u.

***

(2)
Here is a geometry-optimized Hf2MgTiH structure from Alexandria via LeMat-Bulk. Energies are from PBE.

Lattice parameters (Å, degrees): 4.363 4.363 4.351 90.00 90.00 90.00
Sites, in units of the cell vectors:
Mg1 0.000 0.000 0.500
Hf1 0.500 0.000 0.000
H1 0.000 0.000 0.000
Hf2 0.000 0.500 0.000
Ti1 0.500 0.500 0.500

Values from the calculation:
space-group type	No. 123
relative energy among the computed polymorphs	49	meV/atom

***

(3)
Here is a geometry-optimized La8Os3I3Cl structure from Alexandria via LeMat-Bulk. Energies are from PBE.

Lattice parameters (Å, degrees): 8.632 8.632 9.433 117.23 90.00 120.00
Sites, in units of the cell vectors:
Os1 0.500 0.000 0.500
La1 0.245 0.489 0.691
Cl1 0.000 0.000 0.500
La2 0.754 0.052 0.308
I1 0.000 0.000 0.000
Os2 0.000 0.500 0.500
La3 0.755 0.511 0.309
La4 0.731 0.463 0.691
La5 0.269 0.537 0.309
I2 0.500 0.500 0.000
La6 0.297 0.052 0.308
La7 0.246 0.948 0.692
I3 0.000 0.500 0.000
La8 0.703 0.948 0.692
Os3 0.500 0.500 0.500

Values from the calculation:
space-group type	No. 12
energy relative to the elements, uncorrected	-11.488	eV per formula unit

***

(4)
Here is a geometry-optimized PaPd3 structure from Alexandria via LeMat-Bulk. Energies are from PBE.

Lattice parameters (Å, degrees): 3.592 6.150 7.255 90.00 90.00 106.98
Sites, in units of the cell vectors:
Pd1 0.440 0.881 0.750
Pd2 0.107 0.215 0.560
Pd3 0.893 0.785 0.060
Pd4 0.560 0.119 0.250
Pa1 0.245 0.490 0.250
Pd5 0.107 0.215 0.940
Pd6 0.893 0.785 0.440
Pa2 0.755 0.510 0.750

Values from the calculation:
space-group type	No. 63
relative energy among the computed polymorphs	294	meV/atom
calculated formation energy	-1.9	eV/f.u.

***

(5)
Here is a geometry-optimized Fe3Se structure from Alexandria via LeMat-Bulk. Energies are from PBE.

Lattice parameters (Å, degrees): 5.329 5.329 4.340 90.00 90.00 120.00
Sites, in units of the cell vectors:
Se1 0.333 0.667 0.250
Fe1 0.313 0.157 0.250
Fe2 0.687 0.843 0.750
Fe3 0.157 0.313 0.750
Se2 0.667 0.333 0.750
Fe4 0.843 0.687 0.250
Fe5 0.157 0.843 0.750
Fe6 0.843 0.157 0.250

Values from the calculation:
space-group type	No. 194
relative energy among the computed polymorphs	11	meV/atom
energy relative to the elements, uncorrected	0.698	eV per formula unit

***

(6)
Here is a geometry-optimized YBe2 structure from Alexandria via LeMat-Bulk. Energies are from PBE.

Lattice parameters (Å, degrees): 5.051 5.051 5.051 60.00 60.00 60.00
Sites, in units of the cell vectors:
Be1 0.625 0.125 0.125
Be2 0.125 0.125 0.125
Y1 0.750 0.750 0.750
Y2 0.500 0.500 0.500
Be3 0.125 0.625 0.125
Be4 0.125 0.125 0.625

Values from the calculation:
space-group type	No. 227
calculated formation energy	0.3	eV/f.u.

***

(7)
Here is a geometry-optimized CsTl5Pb2Au structure from Alexandria via LeMat-Bulk. Energies are from PBE.

Lattice parameters (Å, degrees): 5.279 5.279 13.062 90.00 90.00 90.00
Sites, in units of the cell vectors:
Tl1 0.000 0.500 0.129
Cs1 0.500 0.500 0.500
Tl2 0.000 0.500 0.871
Pb1 0.000 0.000 0.275
Au1 0.000 0.000 0.000
Tl3 0.000 0.000 0.500
Tl4 0.500 0.000 0.871
Pb2 0.000 0.000 0.725
Tl5 0.500 0.000 0.129

Values from the calculation:
space-group type	No. 123
calculated formation energy	1.4	eV/f.u.

***

(8)
Here is a geometry-optimized BAsPC structure from Alexandria via LeMat-Bulk. Energies are from PBE.

Lattice parameters (Å, degrees): 3.155 3.171 5.899 80.20 74.43 60.18
Sites, in units of the cell vectors:
As1 0.675 0.944 0.970
C1 0.931 0.271 0.131
B1 0.803 0.241 0.417
P1 0.410 0.892 0.549

Values from the calculation:
space-group type	No. 1
relative energy among the computed polymorphs	95	meV/atom
calculated formation energy	1.5	eV/f.u.

***

(9)
Here is a geometry-optimized Na15Sn4 structure from Alexandria via LeMat-Bulk. Energies are from PBE.

Lattice parameters (Å, degrees): 11.387 11.387 11.387 109.47 109.47 109.47
Sites, in units of the cell vectors:
Na1 0.192 0.416 0.531
Sn1 0.000 0.082 0.500
Na2 0.531 0.192 0.416
Sn2 0.000 0.582 0.500
Na3 0.031 0.916 0.692
Na4 0.662 0.969 0.385
Sn3 0.500 0.000 0.582
Na5 0.776 0.584 0.615
Na6 0.724 0.338 0.808
Sn4 0.582 0.500 0.000
Na7 0.416 0.531 0.192
Sn5 0.500 0.000 0.082
Sn6 0.918 0.918 0.918
Sn7 0.082 0.500 0.000
Na8 0.276 0.115 0.084
Na9 0.969 0.385 0.662
Na10 0.875 0.125 0.750
Na11 0.750 0.875 0.125
Na12 0.615 0.776 0.584
Sn8 0.418 0.418 0.418
Na13 0.338 0.808 0.724
Na14 0.250 0.625 0.375
Na15 0.838 0.224 0.308
Na16 0.084 0.276 0.115
Na17 0.162 0.885 0.469
Na18 0.308 0.838 0.224
Na19 0.584 0.615 0.776
Na20 0.808 0.724 0.338
Na21 0.469 0.162 0.885
Na22 0.692 0.031 0.916
Na23 0.115 0.084 0.276
Na24 0.224 0.308 0.838
Na25 0.916 0.692 0.031
Na26 0.375 0.250 0.625
Na27 0.385 0.662 0.969
Na28 0.125 0.750 0.875
Na29 0.625 0.375 0.250
Na30 0.885 0.469 0.162

Values from the calculation:
space-group type	No. 220
calculated formation energy	-3.0	eV/f.u.

***

(10)
Here is a geometry-optimized AcTbAlPb structure from Alexandria via LeMat-Bulk. Energies are from PBE.

Lattice parameters (Å, degrees): 5.550 5.550 5.550 60.00 60.00 60.00
Sites, in units of the cell vectors:
Pb1 0.250 0.250 0.250
Ac1 0.500 0.500 0.500
Tb1 0.000 0.000 0.000
Al1 0.750 0.750 0.750

Values from the calculation:
space-group type	No. 216
calculated formation energy	-1.2	eV/f.u.

***

(11)
Here is a geometry-optimized ZnTeSe2 structure from Alexandria via LeMat-Bulk. Energies are from PBE.

Lattice parameters (Å, degrees): 3.869 4.706 5.849 67.51 90.00 90.00
Sites, in units of the cell vectors:
Se1 0.500 0.286 0.260
Se2 0.000 0.997 0.890
Zn1 0.500 0.688 0.827
Te1 0.000 0.530 0.523

Values from the calculation:
space-group type	No. 6
relative energy among the computed polymorphs	81	meV/atom
energy relative to the elements, uncorrected	-0.175	eV per formula unit

***

(12)
Here is a geometry-optimized Y2TmH structure from Alexandria via LeMat-Bulk. Energies are from PBE.

Lattice parameters (Å, degrees): 3.344 3.344 8.437 90.00 90.00 90.00
Sites, in units of the cell vectors:
Y1 0.000 0.000 0.193
Y2 0.000 0.000 0.807
H1 0.500 0.500 0.000
Tm1 0.500 0.500 0.500

Values from the calculation:
space-group type	No. 123
relative energy among the computed polymorphs	308	meV/atom

***

| no. | DOS(E_F) (states/eV per cell) |
| --- | --- |
| 1 | 2.6 |
| 2 | 3.5 |
| 3 | 12.1 |
| 4 | 7.1 |
| 5 | 3.9 |
| 6 | 3.2 |
| 7 | 5.7 |
| 8 | 0.7 |
| 9 | 23.8 |
| 10 | 2.7 |
| 11 | 1.4 |
| 12 | 4.2 |